VASP calculation (PBE) on LiBe2In after structural relaxation.

a = 2.8983 Å, b = 2.8983 Å, c = 25.8181 Å
α = 90.00°, β = 90.00°, γ = 120.00°
Positions (direct):
Li1 0.0000 0.0000 0.0000
Li2 0.3333 0.6667 0.6667
Li3 0.6667 0.3333 0.3333
Be1 0.0000 0.0000 0.2526
Be2 0.0000 0.0000 0.7474
Be3 0.3333 0.6667 0.4141
Be4 0.3333 0.6667 0.9192
Be5 0.6667 0.3333 0.0808
Be6 0.6667 0.3333 0.5859
In1 0.0000 0.0000 0.5000
In2 0.3333 0.6667 0.1667
In3 0.6667 0.3333 0.8333

formation energy from the elements = 592.0 meV/atom
DOS(E_F) = 0.09 states/eV/atom
density = 3.7 g/cm³